Record 1
! Na3VS (GGA-PBE, relaxed); values from VASP
! E above lowest polymorph in kcal/mol of atoms: 0.00
! E_form (uncorrected) in eV/atom: 0.235
! Electronic total energy in eV/atom: -3.21
! M_tot in μB/f.u.: 4.1
&SYSTEM
  ibrav = 0, nat = 5, ntyp = 3
/
ATOMIC_SPECIES
Na 22.99 Na.upf
S 32.06 S.upf
V 50.94 V.upf
CELL_PARAMETERS angstrom
-0.966 4.588 2.563
-5.021 -1.576 0.929
1.554 -2.240 4.596
ATOMIC_POSITIONS crystal
Na 0.000 0.500 0.000
Na 0.000 0.000 0.500
Na 0.500 0.000 0.000
S 0.000 0.000 0.000
V 0.500 0.500 0.500



Record 2
! Na5V2S6 (GGA-PBE, relaxed); values from VASP
! E_form (uncorrected) in eV/atom: -0.998
! Electronic total energy in eV/atom: -4.81
! M_tot in μB/f.u.: 3.0
&SYSTEM
  ibrav = 0, nat = 26, ntyp = 3
/
ATOMIC_SPECIES
Na 22.99 Na.upf
V 50.94 V.upf
S 32.06 S.upf
CELL_PARAMETERS angstrom
3.771 0.000 0.000
0.000 11.059 0.000
0.000 0.000 13.536
ATOMIC_POSITIONS crystal
Na 0.500 0.340 0.511
Na 0.500 0.660 0.489
Na 0.500 0.840 0.989
Na 0.500 0.160 0.011
Na 0.500 0.571 0.236
Na 0.500 0.429 0.764
Na 0.500 0.071 0.264
Na 0.500 0.929 0.736
Na 0.500 0.500 0.000
Na 0.500 0.000 0.500
V 0.000 0.321 0.296
V 0.000 0.679 0.704
V 0.000 0.821 0.204
V 0.000 0.179 0.796
S 0.000 0.167 0.405
S 0.000 0.833 0.595
S 0.000 0.667 0.095
S 0.000 0.333 0.905
S 0.500 0.316 0.194
S 0.500 0.684 0.806
S 0.500 0.816 0.306
S 0.500 0.184 0.694
S 0.000 0.493 0.376
S 0.000 0.507 0.624
S 0.000 0.993 0.124
S 0.000 0.007 0.876



Record 3
! Na7VS6 (GGA-PBE, relaxed); values from VASP
! E_form (uncorrected) in eV/atom: -1.009
! Electronic total energy in eV/atom: -4.09
! M_tot in μB/f.u.: 0.0
&SYSTEM
  ibrav = 0, nat = 28, ntyp = 3
/
ATOMIC_SPECIES
Na 22.99 Na.upf
V 50.94 V.upf
S 32.06 S.upf
CELL_PARAMETERS angstrom
6.732 0.000 2.526
3.023 10.049 2.176
-0.175 0.589 10.700
ATOMIC_POSITIONS crystal
Na 0.708 0.039 0.961
Na 0.292 0.961 0.039
Na 0.792 0.539 0.461
Na 0.208 0.461 0.539
Na 0.489 0.615 0.169
Na 0.727 0.169 0.615
Na 0.011 0.331 0.885
Na 0.773 0.885 0.331
Na 0.511 0.385 0.831
Na 0.273 0.831 0.385
Na 0.989 0.669 0.115
Na 0.227 0.115 0.669
Na 0.250 0.250 0.250
Na 0.750 0.750 0.750
V 0.750 0.250 0.250
V 0.250 0.750 0.750
S 0.649 0.269 0.075
S 0.006 0.075 0.269
S 0.851 0.425 0.231
S 0.494 0.231 0.425
S 0.351 0.731 0.925
S 0.994 0.925 0.731
S 0.149 0.575 0.769
S 0.506 0.769 0.575
S 0.104 0.660 0.340
S 0.896 0.340 0.660
S 0.396 0.160 0.840
S 0.604 0.840 0.160



Record 4
! Na3V5S12 (GGA-PBE, relaxed); values from VASP
! E_form (uncorrected) in eV/atom: -0.784
! Electronic total energy in eV/atom: -5.74
! M_tot in μB/f.u.: 4.0
&SYSTEM
  ibrav = 0, nat = 80, ntyp = 3
/
ATOMIC_SPECIES
Na 22.99 Na.upf
V 50.94 V.upf
S 32.06 S.upf
CELL_PARAMETERS angstrom
13.042 0.000 0.000
-4.347 12.296 0.000
-4.347 -6.148 10.649
ATOMIC_POSITIONS crystal
Na 0.750 0.375 0.125
Na 0.875 0.750 0.125
Na 0.375 0.750 0.625
Na 0.250 0.125 0.375
Na 0.875 0.125 0.250
Na 0.375 0.625 0.250
Na 0.625 0.375 0.750
Na 0.125 0.875 0.750
Na 0.750 0.875 0.625
Na 0.625 0.250 0.375
Na 0.125 0.250 0.875
Na 0.250 0.625 0.875
V 0.125 0.375 0.250
V 0.000 0.500 0.000
V 0.000 0.000 0.000
V 0.375 0.250 0.125
V 0.500 0.000 0.500
V 0.500 0.500 0.000
V 0.125 0.750 0.375
V 0.750 0.125 0.875
V 0.750 0.625 0.375
V 0.375 0.125 0.750
V 0.625 0.875 0.250
V 0.500 0.500 0.500
V 0.500 0.000 0.000
V 0.000 0.000 0.500
V 0.250 0.375 0.625
V 0.250 0.875 0.125
V 0.000 0.500 0.500
V 0.875 0.250 0.625
V 0.625 0.750 0.875
V 0.875 0.625 0.750
S 0.698 0.108 0.013
S 0.315 0.513 0.405
S 0.987 0.392 0.302
S 0.513 0.198 0.108
S 0.590 0.698 0.685
S 0.987 0.595 0.185
S 0.315 0.802 0.410
S 0.095 0.910 0.108
S 0.595 0.987 0.685
S 0.698 0.590 0.185
S 0.802 0.487 0.392
S 0.815 0.905 0.013
S 0.108 0.698 0.513
S 0.392 0.405 0.090
S 0.090 0.905 0.392
S 0.410 0.108 0.595
S 0.090 0.185 0.198
S 0.487 0.685 0.095
S 0.815 0.910 0.302
S 0.108 0.410 0.095
S 0.392 0.987 0.802
S 0.595 0.608 0.410
S 0.905 0.815 0.513
S 0.802 0.315 0.910
S 0.405 0.392 0.590
S 0.095 0.185 0.487
S 0.198 0.685 0.090
S 0.185 0.090 0.698
S 0.608 0.013 0.198
S 0.892 0.590 0.905
S 0.513 0.315 0.905
S 0.590 0.892 0.405
S 0.910 0.815 0.802
S 0.910 0.095 0.608
S 0.892 0.302 0.487
S 0.185 0.095 0.987
S 0.608 0.595 0.910
S 0.405 0.013 0.315
S 0.302 0.410 0.815
S 0.198 0.513 0.608
S 0.905 0.090 0.892
S 0.685 0.198 0.590
S 0.487 0.802 0.892
S 0.013 0.405 0.815
S 0.410 0.302 0.315
S 0.013 0.608 0.698
S 0.685 0.487 0.595
S 0.302 0.892 0.987